{"formula": "Hf4SnSb", "functional": "PBE", "state": "optimized geometry", "sg": "C2/m (12)", "cell": [[3.045, 0.000, 0.556], [1.496, 4.703, 0.426], [-0.192, -0.003, 9.662]], "species": ["Hf", "Hf", "Hf", "Hf", "Sb", "Sn"], "fractional_positions": [[0.352, 0.460, 0.836], [0.648, 0.540, 0.164], [0.149, 0.037, 0.666], [0.851, 0.963, 0.334], [0.000, 0.000, 0.000], [0.500, 0.500, 0.500]]}

=====

{"formula": "Hf2SnSb", "functional": "PBE", "state": "optimized geometry", "sg": "I-42d (122)", "cell": [[-2.180, 2.077, 5.764], [1.986, -5.548, 2.751], [5.736, 0.964, 5.491]], "species": ["Sn", "Sn", "Sb", "Sb", "Hf", "Hf", "Hf", "Hf"], "fractional_positions": [[0.500, 0.500, 0.000], [0.250, 0.750, 0.500], [0.750, 0.250, 0.500], [0.000, 0.000, 0.000], [0.375, 0.379, 0.750], [0.621, 0.125, 0.250], [0.875, 0.871, 0.750], [0.129, 0.625, 0.250]]}

=====

| no. | relative energy among the computed polymorphs (eV/atom) | uncorrected formation energy (eV per atom) |
| --- | --- | --- |
| 1 | 0.060 | 0.05 |
| 2 | 0.745 | 0.51 |